[1]
DFT (PBE) results for an optimized crystal structure of ScGaFe2C.

CIF file:
```
data_ScGaFe2C
_cell_length_a 3.857
_cell_length_b 3.857
_cell_length_c 4.416
_cell_angle_alpha 90.00
_cell_angle_beta 90.00
_cell_angle_gamma 90.00
_space_group_name_H-M_alt 'P 4/m m m'
_space_group_IT_number 123
_space_group_name_Hall '-P 4 2'
loop_
_atom_site_label
_atom_site_type_symbol
_atom_site_fract_x
_atom_site_fract_y
_atom_site_fract_z
Sc1 Sc 0.000 0.000 0.000
Ga1 Ga 0.500 0.500 0.000
Fe1 Fe 0.000 0.500 0.500
C1 C 0.000 0.000 0.500
```

Results
energy above the most stable polymorph in this dataset	0.1177	eV/atom
DOS at the Fermi energy	4.9	states/eV/cell
formation energy	-0.64	eV/f.u.
density	6.03	g/cm³
total magnetic moment	0.6813	μB/atom
E_tot	-7.230	eV/atom



[2]
DFT (PBE) results for an optimized crystal structure of Sr2NiHg.

CIF file:
```
data_Sr2NiHg
_cell_length_a 4.580
_cell_length_b 4.580
_cell_length_c 10.917
_cell_angle_alpha 90.00
_cell_angle_beta 90.00
_cell_angle_gamma 90.00
_space_group_name_H-M_alt 'I -4 m 2'
_space_group_IT_number 119
_space_group_name_Hall 'I -4 -2'
loop_
_atom_site_label
_atom_site_type_symbol
_atom_site_fract_x
_atom_site_fract_y
_atom_site_fract_z
Sr1 Sr 0.000 0.000 0.000
Sr2 Sr 0.000 0.500 0.250
Ni1 Ni 0.000 0.000 0.500
Hg1 Hg 0.000 0.500 0.750
```

Results
DOS at the Fermi energy	6.6	states/eV/cell
formation energy	0.16	eV/f.u.
density	6.30	g/cm³
total magnetic moment	0.0000	μB/atom
E_tot	-2.321	eV/atom



[3]
DFT (PBE) results for an optimized crystal structure of CeThBiTe.

CIF file:
```
data_CeThBiTe
_cell_length_a 7.784
_cell_length_b 7.784
_cell_length_c 7.784
_cell_angle_alpha 90.00
_cell_angle_beta 90.00
_cell_angle_gamma 90.00
_space_group_name_H-M_alt 'F -4 3 m'
_space_group_IT_number 216
_space_group_name_Hall 'F -4 2 3'
loop_
_atom_site_label
_atom_site_type_symbol
_atom_site_fract_x
_atom_site_fract_y
_atom_site_fract_z
Ce1 Ce 0.000 0.000 0.000
Th1 Th 0.000 0.000 0.500
Bi1 Bi 0.250 0.250 0.250
Te1 Te 0.250 0.250 0.750
```

Results
uncorrected formation energy	-0.8736	eV per atom
energy above the most stable polymorph in this dataset	0.0554	eV/atom
DOS at the Fermi energy	26.6	states/eV/cell
density	9.98	g/cm³
total magnetic moment	0.3641	μB/atom
E_tot	-5.968	eV/atom



[4]
DFT (PBE) results for an optimized crystal structure of Dy3HoIr2.

CIF file:
```
data_Dy3HoIr2
_cell_length_a 6.748
_cell_length_b 13.561
_cell_length_c 7.047
_cell_angle_alpha 90.00
_cell_angle_beta 90.00
_cell_angle_gamma 90.00
_space_group_name_H-M_alt 'I b a m'
_space_group_IT_number 72
_space_group_name_Hall '-I 2 2c'
loop_
_atom_site_label
_atom_site_type_symbol
_atom_site_fract_x
_atom_site_fract_y
_atom_site_fract_z
Dy1 Dy 0.000 0.000 0.250
Dy2 Dy 0.000 0.266 0.250
Ho1 Ho 0.000 0.500 0.000
Ir1 Ir 0.214 0.138 0.000
```

Results
DOS at the Fermi energy	20.0	states/eV/cell
formation energy	-3.90	eV/f.u.
density	10.68	g/cm³
total magnetic moment	0.0000	μB/atom
E_tot	-6.667	eV/atom



[5]
DFT (PBE) results for an optimized crystal structure of Pr2As3Pt4Au.

CIF file:
```
data_Pr2As3Pt4Au
_cell_length_a 4.414
_cell_length_b 4.414
_cell_length_c 10.414
_cell_angle_alpha 90.00
_cell_angle_beta 90.00
_cell_angle_gamma 90.00
_space_group_name_H-M_alt 'P -4 m 2'
_space_group_IT_number 115
loop_
_space_group_symop_operation_xyz
'x,y,z'
'y,-x,-z'
'-x,-y,z'
'-y,x,-z'
'-x,y,z'
'-y,-x,-z'
'x,-y,z'
'y,x,-z'
loop_
_atom_site_label
_atom_site_type_symbol
_atom_site_fract_x
_atom_site_fract_y
_atom_site_fract_z
Pr1 Pr 0.000 0.500 0.245
As1 As 0.000 0.500 0.874
As2 As 0.500 0.500 0.500
Pt1 Pt 0.000 0.000 0.000
Pt2 Pt 0.000 0.500 0.643
Pt3 Pt 0.500 0.500 0.000
Au1 Au 0.000 0.000 0.500
```

Results
DOS at the Fermi energy	5.5	states/eV/cell
formation energy	-7.77	eV/f.u.
density	12.14	g/cm³
total magnetic moment	0.0000	μB/atom
E_tot	-5.871	eV/atom



[6]
DFT (PBE) results for an optimized crystal structure of TbCePuGa.

CIF file:
```
data_TbCePuGa
_cell_length_a 7.289
_cell_length_b 7.289
_cell_length_c 7.289
_cell_angle_alpha 90.00
_cell_angle_beta 90.00
_cell_angle_gamma 90.00
_space_group_name_H-M_alt 'F -4 3 m'
_space_group_IT_number 216
_space_group_name_Hall 'F -4 2 3'
loop_
_atom_site_label
_atom_site_type_symbol
_atom_site_fract_x
_atom_site_fract_y
_atom_site_fract_z
Tb1 Tb 0.000 0.000 0.000
Ce1 Ce 0.250 0.250 0.750
Pu1 Pu 0.000 0.000 0.500
Ga1 Ga 0.250 0.250 0.250
```

Results
DOS at the Fermi energy	39.4	states/eV/cell
formation energy	-0.31	eV/f.u.
density	10.51	g/cm³
total magnetic moment	1.9476	μB/atom
E_tot	-7.057	eV/atom



[7]
DFT (PBE) results for an optimized crystal structure of AlCdFe.

CIF file:
```
data_AlCdFe
_cell_length_a 2.8653
_cell_length_b 2.8653
_cell_length_c 6.8025
_cell_angle_alpha 90.00
_cell_angle_beta 90.00
_cell_angle_gamma 120.00
_space_group_name_H-M_alt 'P 3 m 1'
_space_group_IT_number 156
loop_
_space_group_symop_operation_xyz
'x,y,z'
'-y,x-y,z'
'-x+y,-x,z'
'-y,-x,z'
'-x+y,y,z'
'x,x-y,z'
loop_
_atom_site_label
_atom_site_type_symbol
_atom_site_fract_x
_atom_site_fract_y
_atom_site_fract_z
Al1 Al 0.0000 0.0000 0.0000
Cd1 Cd 0.3333 0.6667 0.3758
Fe1 Fe 0.6667 0.3333 0.7152
```

Results
energy above the most stable polymorph in this dataset	0.0547	eV/atom
DOS at the Fermi energy	1.8	states/eV/cell
formation energy	0.50	eV/f.u.
density	6.70	g/cm³
total magnetic moment	0.7602	μB/atom
E_tot	-4.207	eV/atom



[8]
DFT (PBE) results for an optimized crystal structure of Th2SbP3Rh4.

CIF file:
```
data_Th2SbP3Rh4
_cell_length_a 4.101
_cell_length_b 4.101
_cell_length_c 10.712
_cell_angle_alpha 90.00
_cell_angle_beta 90.00
_cell_angle_gamma 90.00
_space_group_name_H-M_alt 'P -4 m 2'
_space_group_IT_number 115
loop_
_space_group_symop_operation_xyz
'x,y,z'
'y,-x,-z'
'-x,-y,z'
'-y,x,-z'
'-x,y,z'
'-y,-x,-z'
'x,-y,z'
'y,x,-z'
loop_
_atom_site_label
_atom_site_type_symbol
_atom_site_fract_x
_atom_site_fract_y
_atom_site_fract_z
Th1 Th 0.000 0.500 0.232
Sb1 Sb 0.000 0.000 0.500
P1 P 0.000 0.500 0.870
P2 P 0.500 0.500 0.500
Rh1 Rh 0.000 0.000 0.000
Rh2 Rh 0.000 0.500 0.653
Rh3 Rh 0.500 0.500 0.000
```

Results
uncorrected formation energy	-0.9848	eV per atom
DOS at the Fermi energy	3.3	states/eV/cell
density	10.05	g/cm³
total magnetic moment	0.0000	μB/atom
E_tot	-7.445	eV/atom